Entry i
Material: Pr4Sm6Er
Method: DFT, GGA-PBE
State: optimized geometry

Structure (POSCAR):
```
Pr4Sm6Er
1.0
-5.3808 5.3808 3.6065
5.3808 -5.3808 3.6065
5.3808 5.3808 -3.6065
Pr Sm Er
4 6 1
Direct
0.1518 0.1518 0.6229
0.4711 0.8482 0.0000
0.5289 0.5289 0.3771
0.8482 0.4711 0.0000
0.0000 0.5000 0.5000
0.0356 0.2656 0.0000
0.2656 0.0356 0.0000
0.5000 0.0000 0.5000
0.7344 0.7344 0.7700
0.9644 0.9644 0.2300
0.5000 0.5000 0.0000
```

Output
Symmetry   I-42m (121)

***

Entry ii
Material: Pr4Sm6Er
Method: DFT, GGA-PBE
State: optimized geometry

Structure (POSCAR):
```
Pr4Sm6Er
1.0
-3.8362 3.8362 6.7963
3.8362 -3.8362 6.7963
3.8362 3.8362 -6.7963
Pr Sm Er
4 6 1
Direct
0.2454 0.2454 0.6496
0.4042 0.7546 0.0000
0.5958 0.5958 0.3504
0.7546 0.4042 0.0000
0.0000 0.5000 0.5000
0.0407 0.5868 0.0000
0.4132 0.4132 0.4538
0.5000 0.0000 0.5000
0.5868 0.0407 0.0000
0.9593 0.9593 0.5462
0.0000 0.0000 0.0000
```

Output
Symmetry   I-42m (121)

***

Stability verdict: entry ii, ahead by 12.2 kJ/mol of atoms

***

Entry i
Material: PrSm3Er
Method: DFT, GGA-PBE
State: optimized geometry

Structure (POSCAR):
```
PrSm3Er
1.0
9.7411 0.0000 0.0000
0.0000 6.1878 0.0000
-3.7016 0.0000 11.1802
Pr Sm Er
4 12 4
Direct
0.1959 0.1376 0.1731
0.1959 0.3624 0.6731
0.8041 0.6376 0.3269
0.8041 0.8624 0.8269
0.0065 0.1720 0.3804
0.0065 0.3280 0.8804
0.3974 0.6213 0.2235
0.3974 0.8787 0.7235
0.4038 0.2381 0.4767
0.4038 0.2619 0.9767
0.5962 0.7381 0.0233
0.5962 0.7619 0.5233
0.6026 0.1213 0.2765
0.6026 0.3787 0.7765
0.9935 0.6720 0.1196
0.9935 0.8280 0.6196
0.2064 0.7095 0.4290
0.2064 0.7905 0.9290
0.7936 0.2095 0.0710
0.7936 0.2905 0.5710
```

Output
Symmetry   P2_1/c (14)

***

Entry ii
Material: PrSm3Er
Method: DFT, GGA-PBE
State: optimized geometry

Structure (POSCAR):
```
PrSm3Er
1.0
4.0484 -6.9887 0.0000
4.0484 6.9887 0.0000
0.0000 0.0000 6.2186
Pr Sm Er
2 6 2
Direct
0.2017 0.7983 0.7500
0.7983 0.2017 0.2500
0.0000 0.0000 0.0000
0.0000 0.0000 0.5000
0.2042 0.4000 0.7500
0.4000 0.2042 0.2500
0.6000 0.7958 0.7500
0.7958 0.6000 0.2500
0.3390 0.6610 0.2500
0.6610 0.3390 0.7500
```

Output
Symmetry   Cmcm (63)

***

Stability verdict: entry i, ahead by 26.3 kJ/mol of atoms

***

Entry i
Material: Pr5Sm3Er
Method: DFT, GGA-PBE
State: optimized geometry

Structure (POSCAR):
```
Pr5Sm3Er
1.0
10.2452 -3.1828 0.0000
10.2452 3.1828 0.0000
-6.4502 0.0000 9.9378
Pr Sm Er
10 6 2
Direct
0.0361 0.6867 0.3431
0.0810 0.9190 0.7500
0.1381 0.5043 0.6688
0.3133 0.9639 0.1569
0.4957 0.8619 0.8312
0.5043 0.1381 0.1688
0.6867 0.0361 0.8431
0.8619 0.4957 0.3312
0.9190 0.0810 0.2500
0.9639 0.3133 0.6569
0.0985 0.5498 0.9754
0.4502 0.9015 0.5246
0.5000 0.5000 0.0000
0.5000 0.5000 0.5000
0.5498 0.0985 0.4754
0.9015 0.4502 0.0246
0.4081 0.5920 0.2500
0.5920 0.4081 0.7500
```

Output
Symmetry   C2/c (15)

***

Entry ii
Material: Pr5Sm3Er
Method: DFT, GGA-PBE
State: optimized geometry

Structure (POSCAR):
```
Pr5Sm3Er
1.0
8.7621 -4.1166 0.0000
8.7621 4.1166 0.0000
-2.4390 0.0000 9.3401
Pr Sm Er
10 6 2
Direct
0.0026 0.0026 0.6717
0.0534 0.6200 0.4276
0.1749 0.8251 0.0000
0.1903 0.1903 0.9134
0.3800 0.9466 0.5724
0.6200 0.0534 0.4276
0.8097 0.8097 0.0866
0.8251 0.1749 0.0000
0.9466 0.3800 0.5724
0.9974 0.9974 0.3283
0.1877 0.1877 0.2624
0.3485 0.3485 0.7265
0.5000 0.5000 0.0000
0.5000 0.5000 0.5000
0.6515 0.6515 0.2735
0.8123 0.8123 0.7376
0.3696 0.3696 0.1614
0.6304 0.6304 0.8386
```

Output
Symmetry   C2/m (12)

***

Stability verdict: entry i, ahead by 13.7 kJ/mol of atoms

***

Entry i
Material: Pr3Sm2Er
Method: DFT, GGA-PBE
State: optimized geometry

Structure (POSCAR):
```
Pr3Sm2Er
1.0
6.7225 -1.7909 0.0000
6.7225 1.7909 0.0000
-3.8083 0.0000 17.4730
Pr Sm Er
6 4 2
Direct
0.0646 0.0646 0.1687
0.2676 0.2676 0.6633
0.3736 0.3736 0.0087
0.6264 0.6264 0.9913
0.7324 0.7324 0.3367
0.9354 0.9354 0.8313
0.1975 0.1975 0.8347
0.3694 0.3694 0.5006
0.6306 0.6306 0.4994
0.8025 0.8025 0.1653
0.4583 0.4583 0.3194
0.5417 0.5417 0.6806
```

Output
Symmetry   C2/m (12)

***

Entry ii
Material: Pr3Sm2Er
Method: DFT, GGA-PBE
State: optimized geometry

Structure (POSCAR):
```
Pr3Sm2Er
1.0
5.5063 -3.1782 0.0000
5.5063 3.1782 0.0000
0.0000 0.0000 11.7698
Pr Sm Er
6 4 2
Direct
0.0000 0.0000 0.0000
0.0000 0.0000 0.5000
0.3348 0.3348 0.0000
0.3348 0.3348 0.5000
0.6652 0.6652 0.0000
0.6652 0.6652 0.5000
0.0003 0.3338 0.2500
0.9997 0.6662 0.7500
0.3338 0.0003 0.7500
0.6662 0.9997 0.2500
0.3330 0.6670 0.2500
0.6670 0.3330 0.7500
```

Output
Symmetry   Cmcm (63)

***

Stability verdict: entry ii, ahead by 10.6 kJ/mol of atoms

***

Entry i
Material: Pr8Sm3Er2
Method: DFT, GGA-PBE
State: optimized geometry

Structure (POSCAR):
```
Pr8Sm3Er2
1.0
6.6352 -5.9848 0.0000
6.6352 5.9848 0.0000
-2.4457 0.0000 5.7523
Pr Sm Er
8 3 2
Direct
0.0569 0.0569 0.2886
0.0737 0.5832 0.8313
0.3493 0.3493 0.4478
0.4168 0.9263 0.1687
0.5832 0.0737 0.8313
0.6507 0.6507 0.5522
0.9263 0.4168 0.1687
0.9431 0.9431 0.7114
0.2524 0.7476 0.5000
0.5000 0.5000 0.0000
0.7476 0.2524 0.5000
0.2111 0.2111 0.8563
0.7889 0.7889 0.1437
```

Output
Symmetry   C2/m (12)

***

Entry ii
Material: Pr8Sm3Er2
Method: DFT, GGA-PBE
State: optimized geometry

Structure (POSCAR):
```
Pr8Sm3Er2
1.0
7.7781 0.0000 0.0000
0.0000 5.8450 0.0000
-3.8859 0.0000 10.2786
Pr Sm Er
8 3 2
Direct
0.0993 0.0000 0.2854
0.1751 0.5000 0.8498
0.3144 0.0000 0.7147
0.3665 0.5000 0.2332
0.6335 0.5000 0.7668
0.6856 0.0000 0.2853
0.8249 0.5000 0.1502
0.9007 0.0000 0.7146
0.2136 0.5000 0.4999
0.5000 0.0000 0.5000
0.7864 0.5000 0.5001
0.2598 0.0000 0.0189
0.7402 0.0000 0.9811
```

Output
Symmetry   P2/m (10)

***

Stability verdict: entry i, ahead by 4.7 kJ/mol of atoms

***

Entry i
Material: Pr8Sm2Er
Method: DFT, GGA-PBE
State: optimized geometry

Structure (POSCAR):
```
Pr8Sm2Er
1.0
8.4722 -3.4591 0.0000
8.4722 3.4591 0.0000
-1.3154 0.0000 6.6995
Pr Sm Er
8 2 1
Direct
0.0942 0.0942 0.9181
0.1521 0.6770 0.5970
0.2563 0.2563 0.6807
0.3230 0.8479 0.4030
0.6770 0.1521 0.5970
0.7437 0.7437 0.3193
0.8479 0.3230 0.4030
0.9058 0.9058 0.0819
0.3067 0.3067 0.1922
0.6933 0.6933 0.8078
0.5000 0.5000 0.0000
```

Output
Symmetry   C2/m (12)

***

Entry ii
Material: Pr8Sm2Er
Method: DFT, GGA-PBE
State: optimized geometry

Structure (POSCAR):
```
Pr8Sm2Er
1.0
-2.8858 4.1799 8.1521
2.8858 -4.1799 8.1521
2.8858 4.1799 -8.1521
Pr Sm Er
8 2 1
Direct
0.1605 0.1605 0.0000
0.1596 0.3647 0.7949
0.2916 0.0000 0.2916
0.4303 0.6353 0.7949
0.5697 0.3647 0.2051
0.7084 0.0000 0.7084
0.8404 0.6353 0.2051
0.8395 0.8395 0.0000
0.2986 0.7986 0.5000
0.7014 0.2014 0.5000
0.0000 0.5000 0.5000
```

Output
Symmetry   Immm (71)

***

Stability verdict: entry ii, ahead by 4.6 kJ/mol of atoms

***

Entry i
Material: PrSm3Er2
Method: DFT, GGA-PBE
State: optimized geometry

Structure (POSCAR):
```
PrSm3Er2
1.0
7.2567 0.0000 0.0000
3.6260 6.2874 0.0000
1.8255 1.0505 8.6972
Pr Sm Er
2 6 4
Direct
0.2479 0.2515 0.4966
0.7521 0.7485 0.5034
0.2490 0.7517 0.4976
0.3599 0.3610 0.8355
0.3600 0.8611 0.8364
0.6400 0.1389 0.1636
0.6401 0.6390 0.1645
0.7510 0.2483 0.5024
0.1366 0.1402 0.1646
0.1375 0.6409 0.1641
0.8625 0.3591 0.8359
0.8634 0.8598 0.8354
```

Output
Symmetry   P-1 (2)

***

Entry ii
Material: PrSm3Er2
Method: DFT, GGA-PBE
State: optimized geometry

Structure (POSCAR):
```
PrSm3Er2
1.0
-1.7449 2.9766 9.8277
1.7449 -2.9766 9.8277
1.7449 2.9766 -9.8277
Pr Sm Er
1 3 2
Direct
0.0000 0.0000 0.0000
0.1925 0.1925 0.0000
0.5000 0.0000 0.5000
0.8075 0.8075 0.0000
0.3619 0.3619 0.0000
0.6381 0.6381 0.0000
```

Output
Symmetry   Immm (71)

***

Stability verdict: entry i, ahead by 32.7 kJ/mol of atoms

***

Entry i
Material: Pr7Sm3Er2
Method: DFT, GGA-PBE
State: optimized geometry

Structure (POSCAR):
```
Pr7Sm3Er2
1.0
6.5473 0.0000 0.0000
0.0000 3.5972 0.0000
-1.8422 0.0000 17.7465
Pr Sm Er
7 3 2
Direct
0.0000 0.0000 0.0000
0.2232 0.5000 0.1715
0.2563 0.5000 0.4934
0.2741 0.0000 0.8309
0.7259 0.0000 0.1691
0.7437 0.5000 0.5066
0.7768 0.5000 0.8285
0.4558 0.0000 0.3391
0.5000 0.5000 0.0000
0.5442 0.0000 0.6609
0.0579 0.5000 0.6698
0.9421 0.5000 0.3302
```

Output
Symmetry   P2/m (10)

***

Entry ii
Material: Pr7Sm3Er2
Method: DFT, GGA-PBE
State: optimized geometry

Structure (POSCAR):
```
Pr7Sm3Er2
1.0
5.9775 0.0000 0.0000
0.0000 3.6374 0.0000
-1.1754 0.0000 19.2986
Pr Sm Er
7 3 2
Direct
0.0000 0.0000 0.0000
0.1817 0.5000 0.1839
0.2573 0.5000 0.5350
0.3207 0.0000 0.8537
0.6793 0.0000 0.1463
0.7427 0.5000 0.4650
0.8183 0.5000 0.8161
0.2173 0.0000 0.3664
0.5000 0.5000 0.0000
0.7827 0.0000 0.6336
0.2920 0.5000 0.7030
0.7080 0.5000 0.2970
```

Output
Symmetry   P2/m (10)

***

Stability verdict: entry i, ahead by 1.8 kJ/mol of atoms